Record 1
DFT (PBE) results for a relaxed structure of ZnH16C3N8O7.

For the calculated volume, the calculation gives 523 Å³ per cell. Its total energy is -5.816 eV per atom.

Cell lengths 7.8872, 7.8872, 9.8647 Å; angles 112.46, 112.46, 84.48 degrees
With the nearest neighbours (Å) after each atom.
Positions (direct):
C: 0.6474 0.3231 0.0783  2 O 1.27-1.28, 1 N 1.39
C: 0.2877 0.1786 0.1872  2 O 1.28-1.29, 1 N 1.36
C: 0.7067 0.8576 0.4558  2 O 1.28-1.29, 1 N 1.36
C: 0.3231 0.6474 0.5783  2 O 1.27-1.28, 1 N 1.39
C: 0.1786 0.2877 0.6872  2 O 1.28-1.29, 1 N 1.36
C: 0.8576 0.7067 0.9558  2 O 1.28-1.29, 1 N 1.36
H: 0.0084 0.3936 0.0025  1 N 1.03
H: 0.5138 0.9581 0.0425  1 N 1.02
H: 0.4447 0.6921 0.0845  1 N 1.04
H: 0.3531 0.3637 0.1104  1 N 1.05
H: 0.2415 0.8571 0.1806  1 O 0.99
H: 0.8291 0.9506 0.2256  1 N 1.04
H: 0.1429 0.6482 0.2526  1 N 1.04
H: 0.9634 0.5613 0.2643  1 N 1.03
H: 0.3907 0.7690 0.2942  1 O 1.01
H: 0.5731 0.0205 0.3288  1 N 1.04
H: 0.8400 0.4017 0.3517  1 N 1.03
H: 0.2602 0.4310 0.3678  1 N 1.02
H: 0.2284 0.0849 0.3751  1 N 1.04
H: 0.8568 0.1430 0.3904  1 N 1.04
H: 0.5840 0.3787 0.3905  1 N 1.06
H: 0.6607 0.6053 0.4986  1 N 1.04
H: 0.3936 0.0084 0.5025  1 N 1.03
H: 0.9581 0.5138 0.5425  1 N 1.02
H: 0.6921 0.4447 0.5845  1 N 1.04
H: 0.3637 0.3531 0.6104  1 N 1.05
H: 0.8571 0.2415 0.6806  1 O 0.99
H: 0.9506 0.8291 0.7256  1 N 1.04
H: 0.6482 0.1429 0.7526  1 N 1.04
H: 0.5613 0.9634 0.7643  1 N 1.03
H: 0.7690 0.3907 0.7942  1 O 1.01
H: 0.0205 0.5731 0.8288  1 N 1.04
H: 0.4017 0.8400 0.8517  1 N 1.03
H: 0.4310 0.2602 0.8677  1 N 1.02
H: 0.0849 0.2284 0.8751  1 N 1.04
H: 0.1430 0.8568 0.8904  1 N 1.04
H: 0.3787 0.5840 0.8905  1 N 1.06
H: 0.6053 0.6607 0.9986  1 N 1.04
N: 0.2452 0.2895 0.1034  1 H 1.05
N: 0.0874 0.6361 0.3290  2 H 1.03-1.04
N: 0.8430 0.9999 0.3433  2 H 1.04
N: 0.6858 0.9418 0.3531  1 H 1.04
N: 0.2071 0.5461 0.4248  1 H 1.02
N: 0.8586 0.4114 0.4642  2 H 1.02-1.03
N: 0.2699 0.0712 0.4834  2 H 1.03-1.04
N: 0.6906 0.4700 0.4877  3 H 1.04-1.06
N: 0.2895 0.2452 0.6034  1 H 1.05
N: 0.6361 0.0874 0.8290  2 H 1.03-1.04
N: 0.9999 0.8430 0.8433  2 H 1.04
N: 0.9418 0.6858 0.8531  1 H 1.04
N: 0.5461 0.2071 0.9248  1 H 1.02
N: 0.4114 0.8586 0.9642  2 H 1.02-1.03
N: 0.0712 0.2699 0.9834  2 H 1.03-1.04
N: 0.4700 0.6906 0.9877  3 H 1.04-1.06
O: 0.8117 0.8657 0.0282  1 C 1.28
O: 0.8159 0.2904 0.1426  1 C 1.28
O: 0.5643 0.4503 0.1481  1 C 1.27
O: 0.1618 0.0740 0.1740  1 C 1.29
O: 0.2875 0.7380 0.1880  2 H 0.99-1.01
O: 0.4530 0.1924 0.2852  1 C 1.28
O: 0.5612 0.8205 0.4710  1 C 1.29
O: 0.8657 0.8117 0.5282  1 C 1.28
O: 0.2904 0.8159 0.6426  1 C 1.28
O: 0.4503 0.5643 0.6481  1 C 1.27
O: 0.0740 0.1618 0.6740  1 C 1.29
O: 0.7380 0.2875 0.6880  2 H 0.99-1.01
O: 0.1924 0.4530 0.7852  1 C 1.28
O: 0.8205 0.5612 0.9710  1 C 1.29
Zn: 0.0741 0.9064 0.4859  3 O 2.10-2.16, 3 N 2.10-2.12
Zn: 0.9064 0.0741 0.9859  3 O 2.10-2.16, 3 N 2.10-2.12


Record 2
DFT (PBE) results for a relaxed structure of Er3Si2Ni4Ge2.

For the calculated volume, the calculation gives 177 Å³ per cell. Its total energy is -5.897 eV per atom.

Cell lengths 7.7387, 7.7387, 7.7387 Å; angles 150.05, 129.37, 59.95 degrees
With the nearest neighbours (Å) after each atom.
Positions (direct):
Er: 0.1292 0.1292 0.0000  6 Ni 2.84-2.92, 2 Si 2.87, 4 Ge 2.95
Er: 0.8708 0.8708 0.0000  6 Ni 2.84-2.92, 2 Si 2.87, 4 Ge 2.95
Er: 0.5000 0.0000 0.5000  4 Ge 2.84, 2 Si 2.92
Ge: 0.8043 0.5000 0.3043  2 Ni 2.55, 1 Ge 2.59, 2 Er 2.84
Ge: 0.1957 0.5000 0.6957  2 Ni 2.55, 1 Ge 2.59, 2 Er 2.84
Ni: 0.5138 0.3178 0.1960  3 Si 2.42-2.43, 1 Ge 2.55, 1 Ni 2.59
Ni: 0.8782 0.6822 0.1960  3 Si 2.42-2.43, 1 Ge 2.55, 1 Ni 2.59
Ni: 0.1218 0.3178 0.8040  3 Si 2.42-2.43, 1 Ge 2.55, 1 Ni 2.59
Ni: 0.4862 0.6822 0.8040  3 Si 2.42-2.43, 1 Ge 2.55, 1 Ni 2.59
Si: 0.7176 0.2176 0.5000  6 Ni 2.42-2.43
Si: 0.2824 0.7824 0.5000  6 Ni 2.42-2.43